Entry 1:
# Ba2NpCu2Se6 GGA-PBE optimized geometry
data_Ba2NpCu2Se6
_chemical_formula_sum 'Ba2 Np1 Cu2 Se6'
_cell_length_a 7.666
_cell_length_b 7.666
_cell_length_c 7.707
_cell_angle_alpha 60.18
_cell_angle_beta 60.18
_cell_angle_gamma 60.00
_space_group_name_H-M_alt 'P 1'
_space_group_IT_number 1
loop_
_space_group_symop_operation_xyz
'x,y,z'
loop_
_atom_site_label
_atom_site_fract_x
_atom_site_fract_y
_atom_site_fract_z
Ba1 0.233 0.233 0.302
Ba2 0.767 0.767 0.698
Se1 0.753 0.753 0.263
Se2 0.247 0.247 0.737
Se3 0.769 0.247 0.737
Se4 0.247 0.769 0.737
Se5 0.231 0.753 0.263
Se6 0.753 0.231 0.263
Cu1 0.428 0.428 0.717
Cu2 0.572 0.572 0.283
Np1 0.000 0.000 0.000
# Energy relative to the elements, uncorrected (kJ/mol of atoms): -95.37
# Raw total energy (eV per atom): -5.160
# Density of states at the Fermi level (states/eV/f.u.): 7.57

Entry 2:
# BaNp2Cu2Se6 GGA-PBE optimized geometry
data_BaNp2Cu2Se6
_chemical_formula_sum 'Ba1 Np2 Cu2 Se6'
_cell_length_a 7.470
_cell_length_b 7.826
_cell_length_c 7.922
_cell_angle_alpha 122.04
_cell_angle_beta 91.08
_cell_angle_gamma 60.21
_space_group_name_H-M_alt 'P 1'
_space_group_IT_number 1
loop_
_space_group_symop_operation_xyz
'x,y,z'
loop_
_atom_site_label
_atom_site_fract_x
_atom_site_fract_y
_atom_site_fract_z
Se1 0.037 0.551 0.806
Se2 0.963 0.449 0.194
Se3 0.795 0.163 0.421
Se4 0.406 0.797 0.054
Se5 0.594 0.203 0.946
Se6 0.205 0.837 0.579
Cu1 0.193 0.761 0.828
Cu2 0.807 0.239 0.172
Ba1 0.500 0.000 0.500
Np1 0.169 0.660 0.168
Np2 0.831 0.340 0.832
# Energy relative to the elements, uncorrected (kJ/mol of atoms): -92.07
# Raw total energy (eV per atom): -6.127
# Density of states at the Fermi level (states/eV/f.u.): 20.03

Entry 3:
# BaNpCuSe4 GGA-PBE optimized geometry
data_BaNpCuSe4
_chemical_formula_sum 'Ba2 Np2 Cu2 Se8'
_cell_length_a 7.143
_cell_length_b 5.878
_cell_length_c 9.061
_cell_angle_alpha 90.00
_cell_angle_beta 107.30
_cell_angle_gamma 90.00
_space_group_name_H-M_alt 'P 1'
_space_group_IT_number 1
loop_
_space_group_symop_operation_xyz
'x,y,z'
loop_
_atom_site_label
_atom_site_fract_x
_atom_site_fract_y
_atom_site_fract_z
Ba1 0.256 0.250 0.063
Ba2 0.744 0.750 0.937
Se1 0.018 0.990 0.717
Se2 0.982 0.490 0.283
Se3 0.447 0.750 0.145
Se4 0.553 0.250 0.855
Se5 0.982 0.010 0.283
Se6 0.577 0.250 0.412
Se7 0.018 0.510 0.717
Se8 0.423 0.750 0.588
Cu1 0.746 0.250 0.682
Cu2 0.254 0.750 0.318
Np1 0.732 0.750 0.442
Np2 0.268 0.250 0.558
# Energy relative to the elements, uncorrected (kJ/mol of atoms): -107.34
# Raw total energy (eV per atom): -5.812
# Density of states at the Fermi level (states/eV/f.u.): 9.91

Entry 4:
# Ba2NpCuTe5 GGA-PBE optimized geometry
data_Ba2NpCuTe5
_chemical_formula_sum 'Ba4 Np2 Cu2 Te10'
_cell_length_a 4.553
_cell_length_b 10.309
_cell_length_c 13.966
_cell_angle_alpha 90.00
_cell_angle_beta 90.00
_cell_angle_gamma 102.76
_space_group_name_H-M_alt 'P 1'
_space_group_IT_number 1
loop_
_space_group_symop_operation_xyz
'x,y,z'
loop_
_atom_site_label
_atom_site_fract_x
_atom_site_fract_y
_atom_site_fract_z
Te1 0.701 0.402 0.872
Te2 0.654 0.308 0.517
Te3 0.299 0.598 0.372
Te4 0.503 0.006 0.770
Te5 0.304 0.608 0.666
Te6 0.346 0.692 0.017
Te7 0.696 0.392 0.166
Te8 0.049 0.098 0.016
Te9 0.951 0.902 0.516
Te10 0.497 0.994 0.270
Np1 0.804 0.607 0.520
Np2 0.196 0.393 0.020
Ba1 0.878 0.756 0.202
Ba2 0.122 0.244 0.702
Ba3 0.116 0.232 0.333
Ba4 0.884 0.768 0.833
Cu1 0.425 0.851 0.426
Cu2 0.575 0.149 0.926
# Energy relative to the elements, uncorrected (kJ/mol of atoms): -95.97
# Raw total energy (eV per atom): -5.060
# Density of states at the Fermi level (states/eV/f.u.): 8.76

Entry 5:
# BaNpCuTe4 GGA-PBE optimized geometry
data_BaNpCuTe4
_chemical_formula_sum 'Ba2 Np2 Cu2 Te8'
_cell_length_a 7.654
_cell_length_b 6.353
_cell_length_c 9.590
_cell_angle_alpha 90.00
_cell_angle_beta 107.55
_cell_angle_gamma 90.00
_space_group_name_H-M_alt 'P 1'
_space_group_IT_number 1
loop_
_space_group_symop_operation_xyz
'x,y,z'
loop_
_atom_site_label
_atom_site_fract_x
_atom_site_fract_y
_atom_site_fract_z
Np1 0.273 0.250 0.560
Np2 0.727 0.750 0.440
Te1 0.422 0.750 0.594
Te2 0.984 0.005 0.284
Te3 0.984 0.495 0.284
Te4 0.016 0.505 0.716
Te5 0.560 0.250 0.867
Te6 0.578 0.250 0.406
Te7 0.016 0.995 0.716
Te8 0.440 0.750 0.133
Cu1 0.265 0.750 0.319
Cu2 0.735 0.250 0.681
Ba1 0.754 0.750 0.936
Ba2 0.246 0.250 0.064
# Energy relative to the elements, uncorrected (kJ/mol of atoms): -76.81
# Raw total energy (eV per atom): -5.300
# Density of states at the Fermi level (states/eV/f.u.): 11.09

Entry 6:
# Ba8Cu8O19 GGA-PBE optimized geometry
data_Ba8Cu8O19
_chemical_formula_sum 'Ba8 Cu8 O19'
_cell_length_a 5.756
_cell_length_b 9.384
_cell_length_c 9.904
_cell_angle_alpha 91.46
_cell_angle_beta 90.50
_cell_angle_gamma 89.96
_space_group_name_H-M_alt 'P 1'
_space_group_IT_number 1
loop_
_space_group_symop_operation_xyz
'x,y,z'
loop_
_atom_site_label
_atom_site_fract_x
_atom_site_fract_y
_atom_site_fract_z
O1 0.742 0.502 0.093
O2 0.292 0.501 0.098
O3 0.265 0.274 0.258
O4 0.240 0.489 0.590
O5 0.487 0.234 0.986
O6 0.993 0.775 0.486
O7 0.275 0.741 0.247
O8 0.484 0.994 0.673
O9 0.776 0.258 0.735
O10 0.732 0.756 0.265
O11 0.694 0.001 0.903
O12 0.230 0.245 0.757
O13 0.492 0.767 0.986
O14 0.983 0.992 0.166
O15 0.734 0.265 0.279
O16 0.797 0.489 0.591
O17 0.233 0.744 0.764
O18 0.177 0.025 0.413
O19 0.772 0.727 0.745
Ba1 0.005 0.518 0.328
Ba2 0.504 0.499 0.835
Ba3 0.485 0.249 0.511
Ba4 0.987 0.253 0.004
Ba5 0.490 0.749 0.508
Ba6 0.992 0.986 0.674
Ba7 0.990 0.747 0.009
Ba8 0.492 0.001 0.164
Cu1 0.511 0.641 0.161
Cu2 0.994 0.875 0.326
Cu3 0.013 0.361 0.664
Cu4 0.000 0.152 0.309
Cu5 0.497 0.859 0.824
Cu6 0.495 0.134 0.823
Cu7 0.011 0.631 0.659
Cu8 0.509 0.368 0.169
# Energy relative to the elements, uncorrected (kJ/mol of atoms): -147.11
# Raw total energy (eV per atom): -5.592
# Density of states at the Fermi level (states/eV/f.u.): 7.33

Entry 7:
# BaCuO2 GGA-PBE optimized geometry
data_BaCuO2
_chemical_formula_sum 'Ba2 Cu2 O4'
_cell_length_a 4.808
_cell_length_b 5.560
_cell_length_c 5.560
_cell_angle_alpha 115.43
_cell_angle_beta 90.00
_cell_angle_gamma 90.00
_space_group_name_H-M_alt 'P 1'
_space_group_IT_number 1
loop_
_space_group_symop_operation_xyz
'x,y,z'
loop_
_atom_site_label
_atom_site_fract_x
_atom_site_fract_y
_atom_site_fract_z
O1 0.750 0.316 0.136
O2 0.250 0.136 0.316
O3 0.750 0.864 0.684
O4 0.250 0.684 0.864
Ba1 0.750 0.348 0.652
Ba2 0.250 0.652 0.348
Cu1 0.500 0.000 0.000
Cu2 0.000 0.000 0.000
# Energy relative to the elements, uncorrected (kJ/mol of atoms): -153.32
# Raw total energy (eV per atom): -5.573
# Density of states at the Fermi level (states/eV/f.u.): 0.30

Entry 8:
# Ba2CuO6 GGA-PBE optimized geometry
data_Ba2CuO6
_chemical_formula_sum 'Ba4 Cu2 O12'
_cell_length_a 5.843
_cell_length_b 5.857
_cell_length_c 10.143
_cell_angle_alpha 54.68
_cell_angle_beta 90.00
_cell_angle_gamma 90.00
_space_group_name_H-M_alt 'P 1'
_space_group_IT_number 1
loop_
_space_group_symop_operation_xyz
'x,y,z'
loop_
_atom_site_label
_atom_site_fract_x
_atom_site_fract_y
_atom_site_fract_z
O1 0.500 0.223 0.777
O2 0.500 0.777 0.223
O3 0.723 0.223 0.000
O4 0.000 0.777 0.723
O5 0.777 0.777 0.500
O6 0.223 0.777 0.500
O7 0.223 0.223 0.500
O8 0.777 0.223 0.500
O9 0.723 0.777 0.000
O10 0.277 0.777 0.000
O11 0.277 0.223 0.000
O12 0.000 0.223 0.277
Cu1 0.000 0.000 0.500
Cu2 0.500 0.000 0.000
Ba1 0.000 0.250 0.750
Ba2 0.500 0.250 0.250
Ba3 0.500 0.750 0.750
Ba4 0.000 0.750 0.250
# Energy relative to the elements, uncorrected (kJ/mol of atoms): -96.97
# Raw total energy (eV per atom): -5.193
# Density of states at the Fermi level (states/eV/f.u.): 6.93

Entry 9:
# Ba2CuO4 GGA-PBE optimized geometry
data_Ba2CuO4
_chemical_formula_sum 'Ba2 Cu1 O4'
_cell_length_a 4.076
_cell_length_b 4.076
_cell_length_c 7.131
_cell_angle_alpha 106.61
_cell_angle_beta 106.61
_cell_angle_gamma 90.00
_space_group_name_H-M_alt 'P 1'
_space_group_IT_number 1
loop_
_space_group_symop_operation_xyz
'x,y,z'
loop_
_atom_site_label
_atom_site_fract_x
_atom_site_fract_y
_atom_site_fract_z
O1 0.149 0.149 0.297
O2 0.500 0.000 0.000
O3 0.851 0.851 0.703
O4 0.000 0.500 0.000
Ba1 0.359 0.359 0.718
Ba2 0.641 0.641 0.282
Cu1 0.000 0.000 0.000
# Energy relative to the elements, uncorrected (kJ/mol of atoms): -162.13
# Raw total energy (eV per atom): -5.648
# Density of states at the Fermi level (states/eV/f.u.): 6.71

Entry 10:
# BaCu7O12 GGA-PBE optimized geometry
data_BaCu7O12
_chemical_formula_sum 'Ba1 Cu7 O12'
_cell_length_a 6.433
_cell_length_b 6.433
_cell_length_c 6.433
_cell_angle_alpha 109.47
_cell_angle_beta 109.47
_cell_angle_gamma 109.47
_space_group_name_H-M_alt 'P 1'
_space_group_IT_number 1
loop_
_space_group_symop_operation_xyz
'x,y,z'
loop_
_atom_site_label
_atom_site_fract_x
_atom_site_fract_y
_atom_site_fract_z
O1 0.321 0.821 0.142
O2 0.500 0.321 0.179
O3 0.821 0.142 0.321
O4 0.858 0.679 0.179
O5 0.679 0.821 0.500
O6 0.321 0.179 0.500
O7 0.179 0.500 0.321
O8 0.142 0.321 0.821
O9 0.500 0.679 0.821
O10 0.179 0.858 0.679
O11 0.821 0.500 0.679
O12 0.679 0.179 0.858
Cu1 0.500 0.000 0.500
Cu2 0.500 0.500 0.500
Cu3 0.000 0.500 0.500
Cu4 0.500 0.000 0.000
Cu5 0.000 0.000 0.500
Cu6 0.000 0.500 0.000
Cu7 0.500 0.500 0.000
Ba1 0.000 0.000 0.000
# Energy relative to the elements, uncorrected (kJ/mol of atoms): -59.31
# Raw total energy (eV per atom): -5.119
# Density of states at the Fermi level (states/eV/f.u.): 14.62

Question: Which of these has the lowest density of states at the Fermi level?
Answer: BaCuO2

Question: Among the records above, which one has the lowest energy relative to the elements, uncorrected?
Answer: Ba2CuO4

Question: Which of these has the lowest raw total energy?
Answer: BaNp2Cu2Se6